[1]
Entry from Alexandria via LeMat-Bulk: a geometry-optimized Co2Os2N structure (PBE).

- V: 70.98 Å³ per cell
- Relative energy among the computed polymorphs: 0.975 eV/atom
- E_form (uncorrected): 1643.3 meV per atom
- Crystal system: tetragonal

Lattice parameters (Å, degrees): 3.464 3.464 6.404 74.31 74.31 90.00
Each line ends with the local moment (μB).
Fractional positions:
Co 0.405 0.405 0.191  1.00
Co 0.595 0.595 0.809  1.00
Os 0.750 0.250 0.500  -0.09
Os 0.250 0.750 0.500  -0.09
N 0.000 0.000 0.000  -0.13

***

[2]
Entry from Alexandria via LeMat-Bulk: a geometry-optimized Co3OsN structure (PBE).

- V: 90.46 Å³ per cell
- Relative energy among the computed polymorphs: 2.185 eV/atom
- E_form (uncorrected): 2529.9 meV per atom
- Crystal system: cubic

Lattice parameters (Å, degrees): 4.489 4.489 4.489 90.00 90.00 90.00
Each line ends with the local moment (μB).
Fractional positions:
Co 0.000 0.500 0.000  1.22
Co 0.000 0.000 0.500  1.48
Co 0.500 0.000 0.000  0.80
Os 0.000 0.000 0.000  0.17
N 0.500 0.500 0.500  1.38

***

[3]
Entry from Alexandria via LeMat-Bulk: a geometry-optimized Co2OsN2 structure (PBE).

- V: 50.30 Å³ per cell
- Relative energy among the computed polymorphs: 0.000 eV/atom
- E_form (uncorrected): 992.9 meV per atom
- Crystal system: tetragonal

Lattice parameters (Å, degrees): 3.003 3.003 5.969 75.43 75.43 90.00
Fractional positions:
Co 0.353 0.353 0.293
Co 0.647 0.647 0.707
Os 0.000 0.000 0.000
N 0.750 0.250 0.500
N 0.250 0.750 0.500

***

[4]
Entry from Alexandria via LeMat-Bulk: a geometry-optimized Co3OsN structure (PBE).

- V: 53.97 Å³ per cell
- Relative energy among the computed polymorphs: 0.000 eV/atom
- E_form (uncorrected): 345.2 meV per atom
- Crystal system: cubic

Lattice parameters (Å, degrees): 3.779 3.779 3.779 90.00 90.00 90.00
Each line ends with the local moment (μB).
Fractional positions:
Co 0.000 0.500 0.000  1.28
Co 0.000 0.000 0.500  1.16
Co 0.500 0.000 0.000  1.61
Os 0.500 0.500 0.500  1.15
N 0.000 0.000 0.000  0.08

***

[5]
Entry from Alexandria via LeMat-Bulk: a geometry-optimized Co2Os2N structure (PBE).

- V: 119.04 Å³ per cell
- Relative energy among the computed polymorphs: 0.000 eV/atom
- E_form (uncorrected): 668.2 meV per atom
- Crystal system: tetragonal

Lattice parameters (Å, degrees): 5.032 5.032 4.701 90.00 90.00 90.00
Each line ends with the local moment (μB).
Fractional positions:
Co 0.317 0.817 0.000  0.34
Co 0.817 0.683 0.000  0.38
Co 0.683 0.183 0.000  0.34
Co 0.183 0.317 0.000  0.38
Os 0.175 0.675 0.500  0.01
Os 0.675 0.825 0.500  0.03
Os 0.825 0.325 0.500  0.01
Os 0.325 0.175 0.500  0.03
N 0.000 0.000 0.000  0.04
N 0.500 0.500 0.000  0.05

***

[6]
Entry from Alexandria via LeMat-Bulk: a geometry-optimized Co2OsN2 structure (PBE).

- V: 104.08 Å³ per cell
- Relative energy among the computed polymorphs: 0.376 eV/atom
- E_form (uncorrected): 1369.4 meV per atom
- Crystal system: tetragonal

Lattice parameters (Å, degrees): 6.455 6.455 2.498 90.00 90.00 90.00
Each line ends with the local moment (μB).
Fractional positions:
Co 0.375 0.875 0.000  0.44
Co 0.875 0.625 0.000  0.41
Co 0.625 0.125 0.000  0.44
Co 0.125 0.375 0.000  0.41
Os 0.000 0.000 0.000  0.13
Os 0.500 0.500 0.000  0.12
N 0.119 0.619 0.500  -0.02
N 0.619 0.881 0.500  -0.02
N 0.881 0.381 0.500  -0.02
N 0.381 0.119 0.500  -0.02

***

Copy entry 1 word for word.
Entry from Alexandria via LeMat-Bulk: a geometry-optimized Co2Os2N structure (PBE).

- V: 70.98 Å³ per cell
- Relative energy among the computed polymorphs: 0.975 eV/atom
- E_form (uncorrected): 1643.3 meV per atom
- Crystal system: tetragonal

Lattice parameters (Å, degrees): 3.464 3.464 6.404 74.31 74.31 90.00
Each line ends with the local moment (μB).
Fractional positions:
Co 0.405 0.405 0.191  1.00
Co 0.595 0.595 0.809  1.00
Os 0.750 0.250 0.500  -0.09
Os 0.250 0.750 0.500  -0.09
N 0.000 0.000 0.000  -0.13

***

Look up the E_form (uncorrected) of the second one.
2529.9 meV per atom